[1]
## Pu2Cu4Si3Ge (PBE-GGA)

Data for a geometry-optimized Pu2Cu4Si3Ge structure.

a = 4.0725 Å, b = 4.0725 Å, c = 9.8692 Å
α = 90.00°, β = 90.00°, γ = 90.00°
Sites, in units of the cell vectors:
Pu 0.0000 0.5000 0.2462
Pu 0.5000 0.0000 0.7538
Cu 0.0000 0.0000 0.0000
Cu 0.0000 0.5000 0.6334
Cu 0.5000 0.0000 0.3666
Cu 0.5000 0.5000 0.0000
Si 0.0000 0.5000 0.8679
Si 0.5000 0.0000 0.1321
Si 0.5000 0.5000 0.5000
Ge 0.0000 0.0000 0.5000

Output
- DFT total energy: -6.931 eV per atom
- ρ: 9.1 Mg/m³
- Magnetic moment: 10.4 μB per cell

[2]
## SmPuCu2Ge2 (PBE-GGA)

Data for a geometry-optimized SmPuCu2Ge2 structure.

a = 4.2575 Å, b = 4.2575 Å, c = 7.6762 Å
α = 90.00°, β = 90.00°, γ = 120.00°
Sites, in units of the cell vectors:
Sm 0.0000 0.0000 0.0000
Pu 0.0000 0.0000 0.5000
Cu 0.3333 0.6667 0.2506
Cu 0.6667 0.3333 0.7494
Ge 0.3333 0.6667 0.7440
Ge 0.6667 0.3333 0.2560

Output
- DFT formation energy: -0.495 eV/atom
- ρ: 9.2 Mg/m³
- Magnetic moment: 5.1 μB per cell

[3]
## Pu2Cu4SnGe3 (PBE-GGA)

Data for a geometry-optimized Pu2Cu4SnGe3 structure.

a = 4.1936 Å, b = 4.1936 Å, c = 10.3733 Å
α = 90.00°, β = 90.00°, γ = 90.00°
Sites, in units of the cell vectors:
Pu 0.0000 0.5000 0.2339
Pu 0.5000 0.0000 0.7661
Cu 0.0000 0.0000 0.0000
Cu 0.0000 0.5000 0.6448
Cu 0.5000 0.0000 0.3552
Cu 0.5000 0.5000 0.0000
Sn 0.0000 0.0000 0.5000
Ge 0.0000 0.5000 0.8717
Ge 0.5000 0.0000 0.1283
Ge 0.5000 0.5000 0.5000

Output
- DFT formation energy: -0.260 eV/atom
- ρ: 9.8 Mg/m³
- Magnetic moment: 10.6 μB per cell

[4]
## SrPuCuGe (PBE-GGA)

Data for a geometry-optimized SrPuCuGe structure.

a = 5.1772 Å, b = 5.1772 Å, c = 5.1772 Å
α = 60.00°, β = 60.00°, γ = 60.00°
Sites, in units of the cell vectors:
Sr 0.0000 0.0000 0.0000
Pu 0.5000 0.5000 0.5000
Cu 0.7500 0.7500 0.7500
Ge 0.2500 0.2500 0.2500

Output
- DFT formation energy: -0.132 eV/atom
- ρ: 7.9 Mg/m³
- Magnetic moment: 5.2 μB per cell

[5]
## TbPuCu2Ge2 (PBE-GGA)

Data for a geometry-optimized TbPuCu2Ge2 structure.

a = 4.2426 Å, b = 4.2426 Å, c = 7.5659 Å
α = 90.00°, β = 90.00°, γ = 120.00°
Sites, in units of the cell vectors:
Tb 0.0000 0.0000 0.0000
Pu 0.0000 0.0000 0.5000
Cu 0.3333 0.6667 0.2408
Cu 0.6667 0.3333 0.7592
Ge 0.3333 0.6667 0.7484
Ge 0.6667 0.3333 0.2516

Output
- DFT formation energy: -0.504 eV/atom
- ρ: 9.5 Mg/m³
- Magnetic moment: 5.2 μB per cell

[6]
## TbPu2Cu2Ge2 (PBE-GGA)

Data for a geometry-optimized TbPu2Cu2Ge2 structure.

a = 9.2064 Å, b = 9.2064 Å, c = 9.2064 Å
α = 25.29°, β = 25.29°, γ = 25.29°
Sites, in units of the cell vectors:
Tb 0.0000 0.0000 0.0000
Pu 0.1509 0.1509 0.1509
Pu 0.8491 0.8491 0.8491
Cu 0.4125 0.4125 0.4125
Cu 0.5875 0.5875 0.5875
Ge 0.2608 0.2608 0.2608
Ge 0.7392 0.7392 0.7392

Output
- DFT formation energy: -0.285 eV/atom
- ρ: 12.2 Mg/m³
- Magnetic moment: 0.0 μB per cell